RbNiNF2 GGA+U optimized geometry; energy above the most stable polymorph in this dataset = 1481 meV per atom; V = 27.55 A^3/atom; DOS at the Fermi energy = 1.738 states/eV/cell; SG = No. 123; energy = -13.3 eV per cell
1.0
5.147 0.000 0.000
0.000 5.147 0.000
0.000 0.000 5.199
Rb Ni N F
1 1 1 2
direct
0.000 0.000 0.000
0.500 0.500 0.500
0.000 0.000 0.500
0.000 0.500 0.000
0.500 0.000 0.000